[1]
A geometry-optimized TbPmEr5Tm2 structure. Source: Alexandria, functional PBE.

Cell lengths 5.554, 19.655, 10.487 Å; angles 90.00, 90.00, 90.00 degrees
Space group Cmc2_1 (No. 36)
Inequivalent atoms, fractional coordinates:
Tb1 0.000 0.200 0.000
Pm1 0.000 0.416 0.439
Er1 0.000 0.018 0.014
Er2 0.000 0.281 0.299
Er3 0.000 0.299 0.697
Er4 0.000 0.390 0.011
Er5 0.000 0.478 0.724
Tm1 0.000 0.110 0.724
Tm2 0.000 0.113 0.307

Computed properties:
- V (A^3/atom) = 31.80
- M_tot (Bohr magnetons per cell) = 0.00
- calculated total energy (eV for the cell shown) = -158.6
- theoretical density (g/cm3) = 8.576
- formation energy (meV per atom) = 164


[2]
A geometry-optimized Tb3Pm6ErTm2 structure. Source: Alexandria, functional PBE.

Cell lengths 6.230, 10.789, 11.802 Å; angles 90.00, 100.10, 90.00 degrees
Space group C2/m (No. 12)
Inequivalent atoms, fractional coordinates:
Tb1 0.000 0.000 0.000
Tb2 0.000 0.333 0.000
Pm1 0.250 0.000 0.748
Pm2 0.250 0.167 0.252
Er1 0.000 0.500 0.500
Tm1 0.000 0.167 0.500

Computed properties:
- V (A^3/atom) = 32.54
- M_tot (Bohr magnetons per cell) = 0.00
- calculated total energy (eV for the cell shown) = -111.5
- theoretical density (g/cm3) = 7.876
- formation energy (meV per atom) = 14


[3]
A geometry-optimized TbPmErTm3 structure. Source: Alexandria, functional PBE.

Cell lengths 4.991, 14.978, 9.985 Å; angles 90.00, 90.00, 90.00 degrees
Space group Cmcm (No. 63)
Inequivalent atoms, fractional coordinates:
Tb1 0.000 0.000 0.000
Pm1 0.000 0.500 0.250
Er1 0.000 0.168 0.250
Tm1 0.000 0.168 0.750
Tm2 0.000 0.332 0.000

Computed properties:
- V (A^3/atom) = 31.10
- M_tot (Bohr magnetons per cell) = 0.02
- calculated total energy (eV for the cell shown) = -108.9
- theoretical density (g/cm3) = 8.703
- formation energy (meV per atom) = 24


[4]
A geometry-optimized Tb2PmEr6Tm3 structure. Source: Alexandria, functional PBE.

Cell lengths 6.104, 10.559, 11.665 Å; angles 90.00, 100.02, 90.00 degrees
Space group C2/m (No. 12)
Inequivalent atoms, fractional coordinates:
Tb1 0.000 0.167 0.000
Pm1 0.000 0.500 0.000
Er1 0.248 0.167 0.747
Er2 0.249 0.500 0.747
Tm1 0.000 0.000 0.500
Tm2 0.000 0.333 0.500

Computed properties:
- V (A^3/atom) = 30.85
- M_tot (Bohr magnetons per cell) = 0.00
- calculated total energy (eV for the cell shown) = -109.1
- theoretical density (g/cm3) = 8.852
- formation energy (meV per atom) = 22


[5]
A geometry-optimized Tb2Pm6ErTm3 structure. Source: Alexandria, functional PBE.

Cell lengths 6.220, 10.772, 11.769 Å; angles 90.00, 100.11, 90.00 degrees
Space group C2/m (No. 12)
Inequivalent atoms, fractional coordinates:
Tb1 0.000 0.167 0.000
Pm1 0.249 0.167 0.748
Pm2 0.249 0.500 0.748
Er1 0.000 0.500 0.000
Tm1 0.000 0.000 0.500
Tm2 0.000 0.333 0.500

Computed properties:
- V (A^3/atom) = 32.34
- M_tot (Bohr magnetons per cell) = 0.00
- calculated total energy (eV for the cell shown) = -111.1
- theoretical density (g/cm3) = 7.966
- formation energy (meV per atom) = 14


[6]
A geometry-optimized TbPmEr2Tm2 structure. Source: Alexandria, functional PBE.

Cell lengths 6.919, 15.906, 3.506 Å; angles 90.00, 90.00, 90.00 degrees
Space group Pnnm (No. 58)
Inequivalent atoms, fractional coordinates:
Tb1 0.000 0.000 0.000
Pm1 0.000 0.500 0.500
Er1 0.249 0.158 0.500
Tm1 0.250 0.344 0.000

Computed properties:
- V (A^3/atom) = 32.15
- M_tot (Bohr magnetons per cell) = 0.01
- calculated total energy (eV for the cell shown) = -52.9
- theoretical density (g/cm3) = 8.404
- formation energy (meV per atom) = 170


[7]
A geometry-optimized Tb4PmErTm2 structure. Source: Alexandria, functional PBE.

Cell lengths 6.772, 11.729, 13.229 Å; angles 90.00, 90.00, 90.00 degrees
Space group Imma (No. 74)
Inequivalent atoms, fractional coordinates:
Tb1 0.000 0.001 0.247
Tb2 0.248 0.250 0.001
Pm1 0.000 0.000 0.500
Er1 0.250 0.250 0.750
Tm1 0.000 0.000 0.000
Tm2 0.250 0.250 0.250

Computed properties:
- V (A^3/atom) = 32.84
- M_tot (Bohr magnetons per cell) = 12.42
- calculated total energy (eV for the cell shown) = -133.1
- theoretical density (g/cm3) = 8.128
- formation energy (meV per atom) = 437


[8]
A geometry-optimized TbPmEr4Tm2 structure. Source: Alexandria, functional PBE.

Cell lengths 13.480, 13.222, 6.737 Å; angles 90.00, 119.98, 90.00 degrees
Space group C2/c (No. 15)
Inequivalent atoms, fractional coordinates:
Tb1 0.000 0.000 0.000
Pm1 0.250 0.250 0.000
Er1 0.000 0.252 0.002
Er2 0.248 0.497 0.497
Tm1 0.000 0.500 0.000
Tm2 0.250 0.250 0.500

Computed properties:
- V (A^3/atom) = 32.50
- M_tot (Bohr magnetons per cell) = 12.83
- calculated total energy (eV for the cell shown) = -132.0
- theoretical density (g/cm3) = 8.372
- formation energy (meV per atom) = 447


> Which formula does entry 8 have?

TbPmEr4Tm2


> Which value of V does entry 4 give?

30.85 A^3/atom